VASP calculation (meta-GGA SCAN) on a PBEsol-optimized structure of Si3Au.

a b c (Å): 9.0047 9.0047 2.6916
angles (deg): 90.00 90.00 120.00
Space group R-3m (No. 166, hexagonal axes)
Inequivalent atoms, fractional coordinates:
Si  0.0000  0.5000  0.0000 x9
Au  0.0000  0.0000  0.0000 x3

Distance to the lowest polymorph of the same formula = 0.132 eV per atom
Density of states at the Fermi level = 5.167 states/eV/cell
Volume = 15.75 Å³ per atom
Formation energy from raw total energies = 0.64 eV/atom

=====

VASP calculation (meta-GGA SCAN) on a PBEsol-optimized structure of SmSi2Au2.

a b c (Å): 4.239 4.239 10.151
angles (deg): 90.00 90.00 90.00
Space group I4/mmm (No. 139)
Inequivalent atoms, fractional coordinates:
Sm  0.000  0.000  0.000 x2
Si  0.000  0.000  0.386 x4
Au  0.000  0.500  0.250 x4

Density of states at the Fermi level = 2.509 states/eV/cell
Volume = 18.24 Å³ per atom
Formation energy from raw total energies = -0.74 eV/atom

=====

VASP calculation (meta-GGA SCAN) on a PBEsol-optimized structure of Sr2SiAu.

a b c (Å): 4.458 4.458 6.319
angles (deg): 90.00 90.00 90.00
Space group P4/mmm (No. 123)
Inequivalent atoms, fractional coordinates:
Sr  0.000  0.000  0.000 x1
Sr  0.500  0.500  0.500 x1
Si  0.000  0.000  0.500 x1
Au  0.500  0.500  0.000 x1

Density of states at the Fermi level = 2.791 states/eV/cell
Volume = 31.40 Å³ per atom
Formation energy from raw total energies = -0.40 eV/atom

=====

VASP calculation (meta-GGA SCAN) on a PBEsol-optimized structure of SrSiAu2.

a b c (Å): 3.949 5.224 8.343
angles (deg): 90.00 90.00 90.00
Space group Imm2 (No. 44)
Inequivalent atoms, fractional coordinates:
Sr  0.000  0.000  0.000 x2
Si  0.000  0.500  0.778 x2
Au  0.000  0.000  0.445 x2
Au  0.000  0.500  0.201 x2

Density of states at the Fermi level = 2.458 states/eV/cell
Volume = 21.51 Å³ per atom
Formation energy from raw total energies = -0.34 eV/atom

=====

VASP calculation (meta-GGA SCAN) on a PBEsol-optimized structure of SrSiAu3.

a b c (Å): 4.824 4.824 4.824
angles (deg): 90.00 90.00 90.00
Space group Pm-3m (No. 221)
Inequivalent atoms, fractional coordinates:
Sr  0.000  0.000  0.000 x1
Si  0.500  0.500  0.500 x1
Au  0.000  0.500  0.500 x3

Density of states at the Fermi level = 1.892 states/eV/cell
Volume = 22.46 Å³ per atom
Formation energy from raw total energies = -0.60 eV/atom

=====

VASP calculation (meta-GGA SCAN) on a PBEsol-optimized structure of Sr2SiAu.

a b c (Å): 4.477 4.751 10.627
angles (deg): 90.00 90.00 90.00
Space group Amm2 (No. 38)
Inequivalent atoms, fractional coordinates:
Sr  0.000  0.000  0.000 x2
Sr  0.500  0.000  0.290 x2
Si  0.000  0.000  0.695 x2
Au  0.500  0.000  0.592 x2

Density of states at the Fermi level = 4.009 states/eV/cell
Volume = 28.26 Å³ per atom
Formation energy from raw total energies = -0.68 eV/atom